# Rb2Pb (PBE-GGA, relaxed)
# excess energy over the best structure of this formula in the dataset: 30 kJ/mol of formula units
# DOS(E_F): 1.10 states/eV per atom
# calculated formation energy: 0.07 eV per formula unit
# final energy: -1.858 eV/atom
data_Rb2Pb
_chemical_formula_sum 'Rb4 Pb2'
_space_group_name_H-M_alt 'I 4/m m m'
_space_group_IT_number 139
_space_group_name_Hall '-I 4 2'
_cell_length_a 4.525
_cell_length_b 4.525
_cell_length_c 15.557
_cell_angle_alpha 90.00
_cell_angle_beta 90.00
_cell_angle_gamma 90.00
loop_
_atom_site_label
_atom_site_type_symbol
_atom_site_fract_x
_atom_site_fract_y
_atom_site_fract_z
Rb1 Rb 0.000 0.000 0.138
Pb1 Pb 0.000 0.000 0.500



# RbPb (PBE-GGA, relaxed)
# excess energy over the best structure of this formula in the dataset: 53 kJ/mol of formula units
# DOS(E_F): 0.06 states/eV per atom
# calculated formation energy: 0.10 eV per formula unit
# final energy: -2.289 eV/atom
data_RbPb
_chemical_formula_sum 'Rb4 Pb4'
_space_group_name_H-M_alt 'P 42/m n m'
_space_group_IT_number 136
_space_group_name_Hall '-P 4n 2n'
_cell_length_a 7.645
_cell_length_b 7.645
_cell_length_c 7.695
_cell_angle_alpha 90.00
_cell_angle_beta 90.00
_cell_angle_gamma 90.00
loop_
_atom_site_label
_atom_site_type_symbol
_atom_site_fract_x
_atom_site_fract_y
_atom_site_fract_z
Rb1 Rb 0.172 0.172 0.000
Pb1 Pb 0.130 0.130 0.500



# RbPb (PBE-GGA, relaxed)
# excess energy over the best structure of this formula in the dataset: 179 kJ/mol of formula units
# DOS(E_F): 1.27 states/eV per atom
# calculated formation energy: 1.40 eV per formula unit
# final energy: -1.636 eV/atom
data_RbPb
_chemical_formula_sum 'Rb6 Pb6'
_space_group_name_H-M_alt 'P m -3 n'
_space_group_IT_number 223
_space_group_name_Hall '-P 4n 2 3'
_cell_length_a 10.720
_cell_length_b 10.720
_cell_length_c 10.720
_cell_angle_alpha 90.00
_cell_angle_beta 90.00
_cell_angle_gamma 90.00
loop_
_atom_site_label
_atom_site_type_symbol
_atom_site_fract_x
_atom_site_fract_y
_atom_site_fract_z
Rb1 Rb 0.000 0.250 0.500
Pb1 Pb 0.000 0.500 0.250



# Rb4Pb (PBE-GGA, relaxed)
# excess energy over the best structure of this formula in the dataset: 0 kJ/mol of formula units
# DOS(E_F): 0.90 states/eV per atom
# calculated formation energy: -0.05 eV per formula unit
# final energy: -1.526 eV/atom
data_Rb4Pb
_chemical_formula_sum 'Rb8 Pb2'
_space_group_name_H-M_alt 'P 4/m c c'
_space_group_IT_number 124
_space_group_name_Hall '-P 4 2c'
_cell_length_a 9.205
_cell_length_b 9.205
_cell_length_c 8.451
_cell_angle_alpha 90.00
_cell_angle_beta 90.00
_cell_angle_gamma 90.00
loop_
_atom_site_label
_atom_site_type_symbol
_atom_site_fract_x
_atom_site_fract_y
_atom_site_fract_z
Rb1 Rb 0.167 0.306 0.000
Pb1 Pb 0.000 0.000 0.250



| no. | mass density (g/cm3) |
| --- | --- |
| 1 | 3.94 |
| 2 | 4.32 |
| 3 | 2.37 |
| 4 | 2.55 |